Entry from the Alexandria database: a geometry-optimized ZnCrPt structure (PBE-GGA).

Cell and atoms, written as POSCAR:
```
ZnCrPt
1.0
-1.370 1.370 5.539
1.370 -1.370 5.539
1.370 1.370 -5.539
Zn Cr Pt
1 1 1
direct
0.000 0.000 0.000
0.665 0.665 0.000
0.322 0.322 0.000
```

Values from the calculation:
- DOS at the Fermi energy: 2.99 states/eV per cell
- Crystal system: tetragonal
- E_form: -0.113 eV/atom
- Size of the total moment: 0.4 μB per formula unit